Material: CdFeBr2
Method: DFT, GGA-PBE
State: optimized geometry

abc: 5.1369 5.1369 5.1369
angles: 60.00 60.00 60.00
With the nearest neighbours (Å) after each atom.
Positions (direct):
1 Cd 0.0000 0.0000 0.0000  4 Fe 3.15, 4 Br 3.15
2 Fe 0.7500 0.7500 0.7500  4 Br 3.15, 4 Cd 3.15
3 Br 0.2500 0.2500 0.2500  4 Br 3.15, 4 Cd 3.15
4 Br 0.5000 0.5000 0.5000  4 Fe 3.15, 4 Br 3.15

energy above the most stable polymorph in this dataset = 2.79 eV per formula unit
total magnetization = 3.3 μB/f.u.
SG = F-43m (216)
calculated density = 5.7 g cm⁻³

---

Material: Ba2CoIr
Method: DFT, GGA-PBE
State: optimized geometry

abc: 6.1306 6.1306 6.1306
angles: 136.38 136.38 63.40
With the nearest neighbours (Å) after each atom.
Positions (direct):
1 Ba 0.0000 0.0000 0.0000  4 Ir 3.22, 4 Ba 3.46, 4 Co 3.46
2 Ba 0.7500 0.2500 0.5000  4 Co 3.22, 4 Ba 3.46, 4 Ir 3.46
3 Co 0.2500 0.7500 0.5000  8 Ba 3.22-3.46, 4 Ir 3.46
4 Ir 0.5000 0.5000 0.0000  8 Ba 3.22-3.46, 4 Co 3.46

ΔH_f (0 K) = 0.678 eV/atom
energy above the most stable polymorph in this dataset = 2.91 eV per formula unit
total magnetization = 1.9 μB/f.u.
SG = I-4m2 (119)
calculated density = 8.1 g cm⁻³

---

Material: VH2S
Method: DFT, GGA-PBE
State: optimized geometry

abc: 7.1557 7.1557 7.1557
angles: 152.82 152.82 38.81
With the nearest neighbours (Å) after each atom.
Positions (direct):
1 V 0.3750 0.6250 0.7500  4 H 1.89
2 V 0.6250 0.3750 0.2500  4 H 1.89
3 H 0.0000 0.5000 0.5000  2 H 1.68
4 H 0.5000 0.0000 0.0000  2 H 1.68
5 H 0.5000 0.5000 0.0000  2 H 1.68
6 H 0.5000 0.5000 0.5000  2 H 1.68
7 S 0.1250 0.8750 0.2500  4 V 2.38, 8 H 2.53
8 S 0.8750 0.1250 0.7500  4 V 2.38, 8 H 2.53

energy above the most stable polymorph in this dataset = 0.00 eV per formula unit
total magnetization = 0.7 μB/f.u.
SG = I4_1/amd (141)
calculated density = 3.7 g cm⁻³

---

Material: AgH2Au2
Method: DFT, GGA-PBE
State: optimized geometry

abc: 6.2432 6.2432 3.6640
angles: 90.00 90.00 90.00
With the nearest neighbours (Å) after each atom.
Positions (direct):
1 Ag 0.0000 0.0000 0.0000  4 H 2.21
2 Ag 0.5000 0.5000 0.0000  4 H 2.21
3 H 0.2377 0.2623 0.0000  2 Au 1.83
4 H 0.2623 0.7623 0.0000  2 Au 1.83
5 H 0.7377 0.2377 0.0000  2 Au 1.83
6 H 0.7623 0.7377 0.0000  2 Au 1.83
7 Au 0.2404 0.2596 0.5000  2 H 1.83
8 Au 0.2596 0.7596 0.5000  2 H 1.83
9 Au 0.7404 0.2404 0.5000  2 H 1.83
10 Au 0.7596 0.7404 0.5000  2 H 1.83

energy above the most stable polymorph in this dataset = 0.00 eV per formula unit
total magnetization = 0.0 μB/f.u.
SG = P4/mbm (127)
calculated density = 11.7 g cm⁻³

---

Material: EuDyGaAg
Method: DFT, GGA-PBE
State: optimized geometry

abc: 5.2145 5.2145 5.2145
angles: 60.00 60.00 60.00
With the nearest neighbours (Å) after each atom.
Positions (direct):
1 Eu 0.0000 0.0000 0.0000  4 Ga 3.19, 4 Ag 3.19
2 Dy 0.5000 0.5000 0.5000  4 Ga 3.19, 4 Ag 3.19
3 Ga 0.7500 0.7500 0.7500  4 Dy 3.19, 4 Eu 3.19
4 Ag 0.2500 0.2500 0.2500  4 Dy 3.19, 4 Eu 3.19

ΔH_f (0 K) = -0.385 eV/atom
total magnetization = 6.8 μB/f.u.
SG = F-43m (216)
calculated density = 8.1 g cm⁻³

---

Material: Ta2Hg
Method: DFT, GGA-PBE
State: optimized geometry

abc: 5.7841 5.7841 7.3498
angles: 102.64 102.64 28.66
With the nearest neighbours (Å) after each atom.
Positions (direct):
1 Ta 0.0358 0.0358 0.3167  7 Ta 2.86-3.06, 5 Hg 2.96-3.07
2 Ta 0.3734 0.3734 0.9829  7 Ta 2.79-3.06, 3 Hg 2.95-3.11
3 Ta 0.6266 0.6266 0.0171  7 Ta 2.79-3.06, 3 Hg 2.95-3.11
4 Ta 0.9642 0.9642 0.6833  7 Ta 2.86-3.06, 5 Hg 2.96-3.07
5 Hg 0.3031 0.3031 0.3458  4 Hg 2.86-3.13, 8 Ta 2.95-3.11
6 Hg 0.6969 0.6969 0.6542  4 Hg 2.86-3.13, 8 Ta 2.95-3.11

ΔH_f (0 K) = 0.363 eV/atom
total magnetization = 0.0 μB/f.u.
SG = C2/m (12)
calculated density = 16.3 g cm⁻³

---

- Among the records above, which one has the highest total magnetization?
  EuDyGaAg

---

- calculated density of number 2 (Ba2CoIr)?
  8.1 g cm⁻³

---

Repeat the first record exactly.
Material: CdFeBr2
Method: DFT, GGA-PBE
State: optimized geometry

abc: 5.1369 5.1369 5.1369
angles: 60.00 60.00 60.00
With the nearest neighbours (Å) after each atom.
Positions (direct):
1 Cd 0.0000 0.0000 0.0000  4 Fe 3.15, 4 Br 3.15
2 Fe 0.7500 0.7500 0.7500  4 Br 3.15, 4 Cd 3.15
3 Br 0.2500 0.2500 0.2500  4 Br 3.15, 4 Cd 3.15
4 Br 0.5000 0.5000 0.5000  4 Fe 3.15, 4 Br 3.15

energy above the most stable polymorph in this dataset = 2.79 eV per formula unit
total magnetization = 3.3 μB/f.u.
SG = F-43m (216)
calculated density = 5.7 g cm⁻³

---

- The highest total magnetization belongs to which entry?
  EuDyGaAg